Entry 1:
## AsPtSe2I (PBE)

Data for crystalline AsPtSe2I at its relaxed geometry.

The structure in CIF format:
```
data_AsPtSe2I
_chemical_formula_sum 'As1 Pt1 Se2 I1'
_cell_length_a 5.154
_cell_length_b 5.154
_cell_length_c 4.788
_cell_angle_alpha 90.00
_cell_angle_beta 90.00
_cell_angle_gamma 90.00
_symmetry_space_group_name_H-M 'P 4/m m m'
_symmetry_Int_Tables_number 123
_symmetry_space_group_name_Hall '-P 4 2'
loop_
_atom_site_label
_atom_site_fract_x
_atom_site_fract_y
_atom_site_fract_z
As1 0.000 0.000 0.000
Pt1 0.000 0.000 0.500
Se1 0.000 0.500 0.500
I1 0.500 0.500 0.000
```

- E above lowest polymorph: 0 meV per atom
- DFT total energy: -3.38 eV/atom
- Total magnetic moment: 0.00 μB per formula unit

Entry 2:
## CoHg2Cl (PBE)

Data for crystalline CoHg2Cl at its relaxed geometry.

The structure in CIF format:
```
data_CoHg2Cl
_chemical_formula_sum 'Co4 Hg8 Cl4'
_cell_length_a 9.139
_cell_length_b 9.139
_cell_length_c 4.553
_cell_angle_alpha 90.00
_cell_angle_beta 90.00
_cell_angle_gamma 90.00
_symmetry_space_group_name_H-M 'I -4 2 d'
_symmetry_Int_Tables_number 122
_symmetry_space_group_name_Hall 'I -4 2bw'
loop_
_atom_site_label
_atom_site_fract_x
_atom_site_fract_y
_atom_site_fract_z
Co1 0.000 0.000 0.000
Hg1 0.143 0.250 0.125
Cl1 0.000 0.000 0.500
```

- E above lowest polymorph: 170 meV per atom
- DFT total energy: -2.24 eV/atom
- Total magnetic moment: 2.00 μB per formula unit

Entry 3:
## UTlCoSe3 (PBE)

Data for crystalline UTlCoSe3 at its relaxed geometry.

The structure in CIF format:
```
data_UTlCoSe3
_chemical_formula_sum 'U2 Tl2 Co2 Se6'
_cell_length_a 9.295
_cell_length_b 3.908
_cell_length_c 9.513
_cell_angle_alpha 90.00
_cell_angle_beta 111.43
_cell_angle_gamma 90.00
_symmetry_space_group_name_H-M 'P 1 21/m 1'
_symmetry_Int_Tables_number 11
_symmetry_space_group_name_Hall '-P 2yb'
loop_
_atom_site_label
_atom_site_fract_x
_atom_site_fract_y
_atom_site_fract_z
U1 0.182 0.250 0.162
Tl1 0.298 0.750 0.767
Co1 0.418 0.750 0.408
Se1 0.042 0.250 0.839
Se2 0.309 0.250 0.477
Se3 0.391 0.750 0.143
```

- DFT total energy: -5.90 eV/atom
- Total magnetic moment: 3.38 μB per formula unit

Entry 4:
## TlCo2Tc (PBE)

Data for crystalline TlCo2Tc at its relaxed geometry.

The structure in CIF format:
```
data_TlCo2Tc
_chemical_formula_sum 'Tl2 Co4 Tc2'
_cell_length_a 3.791
_cell_length_b 3.791
_cell_length_c 8.180
_cell_angle_alpha 90.00
_cell_angle_beta 90.00
_cell_angle_gamma 90.00
_symmetry_space_group_name_H-M 'I -4 m 2'
_symmetry_Int_Tables_number 119
_symmetry_space_group_name_Hall 'I -4 -2'
loop_
_atom_site_label
_atom_site_fract_x
_atom_site_fract_y
_atom_site_fract_z
Tl1 0.000 0.000 0.000
Co1 0.000 0.000 0.500
Co2 0.000 0.500 0.750
Tc1 0.000 0.500 0.250
```

- Energy of formation: 605 meV/atom
- E above lowest polymorph: 194 meV per atom
- DFT total energy: -6.13 eV/atom
- Total magnetic moment: 3.93 μB per formula unit